(1)
LaCuPb2 after structural relaxation. Source: Alexandria via LeMat-Bulk, functional GGA-PBE.

Values from the calculation:
SG   Fm-3m

```
LaCuPb2
1.0
0.0000 3.7744 3.7744
3.7744 0.0000 3.7744
3.7744 3.7744 0.0000
La Cu Pb
1 1 2
direct
0.0000 0.0000 0.0000 La
0.5000 0.5000 0.5000 Cu
0.2500 0.2500 0.2500 Pb
0.7500 0.7500 0.7500 Pb
```

---

(2)
LaCuPb3 after structural relaxation. Source: Alexandria via LeMat-Bulk, functional GGA-PBE.

Values from the calculation:
SG   Pm-3m

```
LaCuPb3
1.0
6.1687 0.0000 0.0000
0.0000 6.1687 0.0000
0.0000 0.0000 6.1687
La Cu Pb
1 1 3
direct
0.0000 0.0000 0.0000 La
0.5000 0.5000 0.5000 Cu
0.0000 0.0000 0.5000 Pb
0.0000 0.5000 0.0000 Pb
0.5000 0.0000 0.0000 Pb
```

---

(3)
LaCuPb4 after structural relaxation. Source: Alexandria via LeMat-Bulk, functional GGA-PBE.

Values from the calculation:
SG   F-43m

```
LaCuPb4
1.0
0.0000 4.5351 4.5351
4.5351 0.0000 4.5351
4.5351 4.5351 0.0000
La Cu Pb
1 1 4
direct
0.0000 0.0000 0.0000 La
0.2500 0.2500 0.2500 Cu
0.1230 0.6256 0.6256 Pb
0.6256 0.1230 0.6256 Pb
0.6256 0.6256 0.1230 Pb
0.6256 0.6256 0.6256 Pb
```

---

(4)
LaCuPb2 after structural relaxation. Source: Alexandria via LeMat-Bulk, functional GGA-PBE.

Values from the calculation:
SG   Pm

```
LaCuPb2
1.0
4.6779 0.0000 0.0000
0.0000 4.3586 0.0000
-2.2643 0.0000 5.5125
La Cu Pb
1 1 2
direct
0.0000 0.0000 0.0000 La
0.5430 0.5000 0.0857 Cu
0.2788 0.5000 0.5761 Pb
0.7025 0.0000 0.4194 Pb
```

---

(5)
LaCuPb after structural relaxation. Source: Alexandria via LeMat-Bulk, functional GGA-PBE.

Values from the calculation:
SG   R-3m

```
LaCuPb
1.0
2.4079 1.3902 8.0402
-2.4079 1.3902 8.0402
0.0000 -2.7804 8.0402
La Cu Pb
2 2 2
direct
0.0000 0.0000 0.0000 La
0.5000 0.5000 0.5000 La
0.1216 0.1216 0.1216 Cu
0.8784 0.8784 0.8784 Cu
0.2492 0.2492 0.2492 Pb
0.7508 0.7508 0.7508 Pb
```

---

(6)
LaCuPb after structural relaxation. Source: Alexandria via LeMat-Bulk, functional GGA-PBE.

Values from the calculation:
SG   Imm2

```
LaCuPb
1.0
-1.9134 2.3499 4.5508
1.9134 -2.3499 4.5508
1.9134 2.3499 -4.5508
La Cu Pb
1 1 1
direct
0.0000 0.0000 0.0000 La
0.3445 0.3445 0.0000 Cu
0.6554 0.6554 0.0000 Pb
```

---

(7)
LaCuPb after structural relaxation. Source: Alexandria via LeMat-Bulk, functional GGA-PBE.

Values from the calculation:
SG   P1

```
LaCuPb
1.0
4.2063 0.0000 0.0000
0.6758 5.4697 0.0000
0.1166 2.2876 7.0539
La Cu Pb
2 2 2
direct
0.0000 0.0000 0.0000 La
0.1176 0.2383 0.4402 La
0.6177 0.5306 0.0694 Cu
0.6297 0.8897 0.7176 Cu
0.1980 0.5499 0.7709 Pb
0.5813 0.7616 0.3681 Pb
```

---

(8)
LaCuPb after structural relaxation. Source: Alexandria via LeMat-Bulk, functional GGA-PBE.

Values from the calculation:
SG   I4mm

```
LaCuPb
1.0
-1.7737 1.7737 6.0588
1.7737 -1.7737 6.0588
1.7737 1.7737 -6.0588
La Cu Pb
1 1 1
direct
0.0000 0.0000 0.0000 La
0.6512 0.6512 0.0000 Cu
0.2879 0.2879 0.0000 Pb
```

---

(9)
LaCuPb after structural relaxation. Source: Alexandria via LeMat-Bulk, functional GGA-PBE.

Values from the calculation:
SG   Pm

```
LaCuPb
1.0
5.1792 0.0000 0.0000
0.0000 4.3334 0.0000
-1.4419 0.0000 7.2267
La Cu Pb
2 2 2
direct
0.0000 0.0000 0.0000 La
0.3886 0.0000 0.5663 La
0.0690 0.5000 0.2997 Cu
0.8337 0.0000 0.3556 Cu
0.5237 0.5000 0.1368 Pb
0.9089 0.5000 0.6327 Pb
```

---

(10)
LaCuPb2 after structural relaxation. Source: Alexandria via LeMat-Bulk, functional GGA-PBE.

Values from the calculation:
SG   Imm2

```
LaCuPb2
1.0
-2.2232 2.3995 5.1000
2.2232 -2.3995 5.1000
2.2232 2.3995 -5.1000
La Cu Pb
1 1 2
direct
0.0000 0.0000 0.0000 La
0.7523 0.2523 0.5000 Cu
0.2757 0.7757 0.5000 Pb
0.5639 0.5639 0.0000 Pb
```

---

(11)
LaCuPb after structural relaxation. Source: Alexandria via LeMat-Bulk, functional GGA-PBE.

Values from the calculation:
SG   Pmm2

```
LaCuPb
1.0
4.8287 0.0000 0.0000
0.0000 6.9527 0.0000
0.0000 0.0000 4.8297
La Cu Pb
2 2 2
direct
0.0000 0.0000 0.0000 La
0.5000 0.5000 0.4992 La
0.0000 0.2499 0.5010 Cu
0.0000 0.7501 0.5010 Cu
0.0000 0.5000 0.9996 Pb
0.5000 0.0000 0.4992 Pb
```

---

(12)
LaCuPb after structural relaxation. Source: Alexandria via LeMat-Bulk, functional GGA-PBE.

Values from the calculation:
SG   P1

```
LaCuPb
1.0
4.0278 0.0000 0.0000
-0.0071 4.3729 0.0000
-1.4746 -0.0140 8.8818
La Cu Pb
2 2 2
direct
0.0000 0.0000 0.0000 La
0.1353 0.0022 0.4272 La
0.6792 0.5038 0.5354 Cu
0.7100 0.0044 0.6768 Cu
0.2747 0.5024 0.7561 Pb
0.5686 0.5011 0.2132 Pb
```

---

(13)
LaCuPb2 after structural relaxation. Source: Alexandria via LeMat-Bulk, functional GGA-PBE.

Values from the calculation:
SG   I-42d

```
LaCuPb2
1.0
-2.4968 2.4968 9.8129
2.4968 -2.4968 9.8129
2.4968 2.4968 -9.8129
La Cu Pb
2 2 4
direct
0.0000 0.0000 0.0000 La
0.7500 0.2500 0.5000 La
0.2500 0.7500 0.5000 Cu
0.5000 0.5000 0.0000 Cu
0.1989 0.6250 0.0739 Pb
0.3750 0.4489 0.5739 Pb
0.5511 0.1250 0.9261 Pb
0.8750 0.8011 0.4261 Pb
```

---

(14)
LaCuPb after structural relaxation. Source: Alexandria via LeMat-Bulk, functional GGA-PBE.

Values from the calculation:
SG   P-6m2

```
LaCuPb
1.0
4.7680 0.0000 0.0000
-2.3840 4.1292 0.0000
0.0000 0.0000 7.8831
La Cu Pb
2 2 2
direct
0.0000 0.0000 0.0000 La
0.0000 0.0000 0.5000 La
0.6667 0.3333 0.1793 Cu
0.6667 0.3333 0.8207 Cu
0.3333 0.6667 0.2627 Pb
0.3333 0.6667 0.7373 Pb
```

---

(15)
LaCuPb2 after structural relaxation. Source: Alexandria via LeMat-Bulk, functional GGA-PBE.

Values from the calculation:
SG   R-3m

```
LaCuPb2
1.0
1.7589 1.0155 10.0397
-1.7589 1.0155 10.0397
0.0000 -2.0310 10.0397
La Cu Pb
1 1 2
direct
0.0000 0.0000 0.0000 La
0.5000 0.5000 0.5000 Cu
0.2347 0.2347 0.2347 Pb
0.7653 0.7653 0.7653 Pb
```

---

(16)
LaCu3Pb after structural relaxation. Source: Alexandria via LeMat-Bulk, functional GGA-PBE.

Values from the calculation:
SG   Pm-3m

```
LaCu3Pb
1.0
4.9438 0.0000 0.0000
0.0000 4.9438 0.0000
0.0000 0.0000 4.9438
La Cu Pb
1 3 1
direct
0.0000 0.0000 0.0000 La
0.0000 0.5000 0.5000 Cu
0.5000 0.0000 0.5000 Cu
0.5000 0.5000 0.0000 Cu
0.5000 0.5000 0.5000 Pb
```

---

(17)
La2Cu2Pb5 after structural relaxation. Source: Alexandria via LeMat-Bulk, functional GGA-PBE.

Values from the calculation:
SG   Pbam

```
La2Cu2Pb5
1.0
7.4835 0.0000 0.0000
0.0000 13.8161 0.0000
0.0000 0.0000 4.7895
La Cu Pb
4 4 10
direct
0.0862 0.1762 0.0000 La
0.4138 0.6762 0.0000 La
0.5862 0.3238 0.0000 La
0.9138 0.8238 0.0000 La
0.2277 0.8356 0.5000 Cu
0.2723 0.3356 0.5000 Cu
0.7277 0.6644 0.5000 Cu
0.7723 0.1644 0.5000 Cu
0.0000 0.0000 0.5000 Pb
0.0975 0.6554 0.5000 Pb
0.1716 0.4356 0.0000 Pb
0.3284 0.9356 0.0000 Pb
0.4025 0.1554 0.5000 Pb
0.5000 0.5000 0.5000 Pb
0.5975 0.8446 0.5000 Pb
0.6716 0.0644 0.0000 Pb
0.8284 0.5644 0.0000 Pb
0.9025 0.3446 0.5000 Pb
```

---

(18)
LaCuPb after structural relaxation. Source: Alexandria via LeMat-Bulk, functional GGA-PBE.

Values from the calculation:
SG   R3m

```
LaCuPb
1.0
2.3657 1.3658 8.2184
-2.3657 1.3658 8.2184
0.0000 -2.7316 8.2184
La Cu Pb
2 2 2
direct
0.0000 0.0000 0.0000 La
0.1675 0.1675 0.1675 La
0.7648 0.7648 0.7648 Cu
0.8809 0.8809 0.8809 Cu
0.4132 0.4132 0.4132 Pb
0.5860 0.5860 0.5860 Pb
```

---

(19)
LaCuPb after structural relaxation. Source: Alexandria via LeMat-Bulk, functional GGA-PBE.

Values from the calculation:
SG   P3m1

```
LaCuPb
1.0
4.6867 0.0000 0.0000
-2.3433 4.0588 0.0000
0.0000 0.0000 4.1168
La Cu Pb
1 1 1
direct
0.0000 0.0000 0.0000 La
0.3333 0.6667 0.5059 Cu
0.6667 0.3333 0.4971 Pb
```

---

(20)
La4CuPb after structural relaxation. Source: Alexandria via LeMat-Bulk, functional GGA-PBE.

Values from the calculation:
SG   F-43m

```
La4CuPb
1.0
0.0000 4.5768 4.5768
4.5768 0.0000 4.5768
4.5768 4.5768 0.0000
La Cu Pb
4 1 1
direct
0.1232 0.1232 0.1232 La
0.1232 0.1232 0.6304 La
0.1232 0.6304 0.1232 La
0.6304 0.1232 0.1232 La
0.5000 0.5000 0.5000 Cu
0.7500 0.7500 0.7500 Pb
```

---

Number 1: D(E_F) 2.38 states/eV/cell, E -4.169 eV per atom. Number 2: D(E_F) 5.54 states/eV/cell, E -3.017 eV per atom. Number 3: D(E_F) 3.94 states/eV/cell, E -3.826 eV per atom. Number 4: D(E_F) 2.03 states/eV/cell, E -4.261 eV per atom. Number 5: D(E_F) 1.43 states/eV/cell, E -4.646 eV per atom. Number 6: D(E_F) 2.08 states/eV/cell, E -4.300 eV per atom. Number 7: D(E_F) 4.20 states/eV/cell, E -4.430 eV per atom. Number 8: D(E_F) 2.24 states/eV/cell, E -4.422 eV per atom. Number 9: D(E_F) 3.89 states/eV/cell, E -4.504 eV per atom. Number 10: D(E_F) 2.73 states/eV/cell, E -4.265 eV per atom. Number 11: D(E_F) 2.76 states/eV/cell, E -4.575 eV per atom. Number 12: D(E_F) 4.09 states/eV/cell, E -4.544 eV per atom. Number 13: D(E_F) 2.40 states/eV/cell, E -4.110 eV per atom. Number 14: D(E_F) 0.61 states/eV/cell, E -4.622 eV per atom. Number 15: D(E_F) 5.76 states/eV/cell, E -4.053 eV per atom. Number 16: D(E_F) 2.47 states/eV/cell, E -3.786 eV per atom. Number 17: D(E_F) 6.21 states/eV/cell, E -4.311 eV per atom. Number 18: D(E_F) 4.96 states/eV/cell, E -4.617 eV per atom. Number 19: D(E_F) 2.25 states/eV/cell, E -4.614 eV per atom. Number 20: D(E_F) 8.16 states/eV/cell, E -4.285 eV per atom.